# 1
8
Lattice="6.103 -3.534 0.000 6.103 3.534 0.000 -2.034 0.000 5.764" Properties=species:S:1:pos:R:3 comment="Tb2DyTm (GGA-PBE, optimized geometry)" m_tot_mub_per_cell=0.00 e_above_lowest_polymorph_kj_per_mol_atoms=0.6 delta_e_f_mev_per_atom=14 pbc="T T T"
Tb 2.543 0.885 1.437
Tb 1.526 -0.885 4.319
Tb 8.647 0.885 1.445
Tb 7.630 -0.885 4.327
Dy 4.578 0.882 4.323
Dy 5.595 -0.882 1.441
Tm 5.595 2.653 1.441
Tm 4.578 -2.653 4.323

***

# 2
8
Lattice="4.499 2.597 3.687 -4.499 2.597 3.687 0.000 -5.195 3.687" Properties=species:S:1:pos:R:3 comment="Tb2Dy3Tm3 (GGA-PBE, optimized geometry)" m_tot_mub_per_cell=5.84 e_above_lowest_polymorph_kj_per_mol_atoms=23.3 delta_e_f_mev_per_atom=264 pbc="T T T"
Tb 0.000 0.000 2.710
Tb 0.000 0.000 8.351
Dy -3.349 0.607 3.687
Dy 1.149 -3.204 3.687
Dy 2.200 2.597 3.687
Tm -1.101 -1.907 5.531
Tm -1.101 1.907 5.531
Tm 2.202 0.000 5.531

***

# 3
4
Lattice="1.779 1.027 11.394 -1.779 1.027 11.394 0.000 -2.054 11.394" Properties=species:S:1:pos:R:3 comment="Tb2DyTm (GGA-PBE, optimized geometry)" m_tot_mub_per_cell=0.00 e_above_lowest_polymorph_kj_per_mol_atoms=0.0 delta_e_f_mev_per_atom=8 pbc="T T T"
Tb 0.000 0.000 0.000
Tb 0.000 0.000 5.636
Dy 0.000 0.000 19.911
Tm 0.000 0.000 14.223

***

# 4
11
Lattice="8.927 -2.471 0.000 8.927 2.471 0.000 -2.061 0.000 7.553" Properties=species:S:1:pos:R:3 comment="Tb2DyTm8 (GGA-PBE, optimized geometry)" m_tot_mub_per_cell=0.00 e_above_lowest_polymorph_kj_per_mol_atoms=0.0 delta_e_f_mev_per_atom=24 pbc="T T T"
Tb 3.776 0.000 1.033
Tb 12.016 0.000 6.519
Dy 7.896 0.000 3.776
Tm 0.335 0.000 1.716
Tm 1.029 0.000 5.143
Tm 4.465 0.000 4.467
Tm 7.219 0.000 0.341
Tm 8.573 0.000 7.212
Tm 11.327 0.000 3.086
Tm 14.764 0.000 2.410
Tm 15.458 0.000 5.837

***

# 5
24
Lattice="8.312 -12.586 0.000 8.312 12.586 0.000 0.000 0.000 3.626" Properties=species:S:1:pos:R:3 comment="Tb11Dy9Tm4 (GGA-PBE, optimized geometry)" m_tot_mub_per_cell=0.00 delta_e_f_mev_per_atom=51 pbc="T T T"
Tb 0.000 0.000 0.000
Tb 3.747 4.557 0.000
Tb 8.312 8.550 0.000
Tb 4.866 0.000 0.000
Tb 8.312 3.316 0.000
Tb 3.747 -4.557 0.000
Tb 12.877 4.557 0.000
Tb 8.312 -3.316 0.000
Tb 11.758 0.000 0.000
Tb 8.312 -8.550 0.000
Tb 12.877 -4.557 0.000
Dy 2.353 1.836 1.813
Dy 6.612 5.862 1.813
Dy 2.353 -1.836 1.813
Dy 10.012 5.862 1.813
Dy 8.312 0.000 1.813
Dy 6.612 -5.862 1.813
Dy 14.271 1.836 1.813
Dy 10.012 -5.862 1.813
Dy 14.271 -1.836 1.813
Tm 5.719 2.549 1.813
Tm 5.719 -2.549 1.813
Tm 10.905 2.549 1.813
Tm 10.905 -2.549 1.813

***

# 6
15
Lattice="9.318 0.000 0.000 -4.659 8.069 0.000 0.000 0.000 6.433" Properties=species:S:1:pos:R:3 comment="Tb6DyTm8 (GGA-PBE, optimized geometry)" m_tot_mub_per_cell=0.00 delta_e_f_mev_per_atom=243 pbc="T T T"
Tb -1.045 3.341 2.636
Tb -1.243 7.304 2.636
Tb 2.371 2.576 3.798
Tb 2.288 5.493 2.636
Tb 5.901 0.765 3.798
Tb 5.704 4.728 3.798
Dy 0.000 0.000 3.217
Tm -2.983 5.552 0.621
Tm 1.342 2.710 0.621
Tm 0.000 5.379 5.407
Tm 3.018 0.193 5.813
Tm 1.641 7.876 0.621
Tm 4.659 2.690 1.027
Tm 3.317 5.359 5.813
Tm 7.642 2.517 5.813